(1)
# PBE AlBC, optimized geometry
# Uncorrected energy: -19.22 eV for the cell shown
# M_tot: 0.0000 μB per atom
# DOS at the Fermi energy: 0.53 states/eV/f.u.
# Energy of formation from the pure elements: 141 meV per atom
# Polymorph energy (0 for the lowest one): 160 meV/atom
data_AlBC
_chemical_formula_sum 'Al1 B1 C1'
_cell_length_a 3.294
_cell_length_b 2.809
_cell_length_c 3.837
_cell_angle_alpha 90.00
_cell_angle_beta 113.48
_cell_angle_gamma 90.00
_space_group_name_H-M_alt 'P 1 m 1'
_space_group_IT_number 6
loop_
_space_group_symop_operation_xyz
'x,y,z'
'x,-y,z'
loop_
_atom_site_label
_atom_site_fract_x
_atom_site_fract_y
_atom_site_fract_z
Al1 0.000 0.000 0.000
B1 0.753 0.500 0.522
C1 0.657 0.000 0.341

---

(2)
# PBE HfCr3In, optimized geometry
# Uncorrected energy: -33.32 eV for the cell shown
# M_tot: 2.0166 μB per atom
# DOS at the Fermi energy: 9.97 states/eV/f.u.
# Energy of formation from the pure elements: 1649 meV per atom
# Polymorph energy (0 for the lowest one): 0 meV/atom
data_HfCr3In
_chemical_formula_sum 'Hf1 Cr3 In1'
_cell_length_a 4.888
_cell_length_b 4.888
_cell_length_c 4.888
_cell_angle_alpha 90.00
_cell_angle_beta 90.00
_cell_angle_gamma 90.00
_space_group_name_H-M_alt 'P m -3 m'
_space_group_IT_number 221
_space_group_name_Hall '-P 4 2 3'
loop_
_atom_site_label
_atom_site_fract_x
_atom_site_fract_y
_atom_site_fract_z
Hf1 0.000 0.000 0.000
Cr1 0.000 0.500 0.500
In1 0.500 0.500 0.500

---

(3)
# PBE In3Hg7Pb2, optimized geometry
# Uncorrected energy: -17.45 eV for the cell shown
# M_tot: 0.0000 μB per atom
# DOS at the Fermi energy: 2.89 states/eV/f.u.
# Energy of formation from the pure elements: 24 meV per atom
# Polymorph energy (0 for the lowest one): 3 meV/atom
data_In3Hg7Pb2
_chemical_formula_sum 'In3 Hg7 Pb2'
_cell_length_a 5.753
_cell_length_b 3.430
_cell_length_c 16.926
_cell_angle_alpha 90.00
_cell_angle_beta 93.63
_cell_angle_gamma 90.00
_space_group_name_H-M_alt 'P 1 2/m 1'
_space_group_IT_number 10
loop_
_space_group_symop_operation_xyz
'x,y,z'
'-x,-y,-z'
'-x,y,-z'
'x,-y,z'
loop_
_atom_site_label
_atom_site_fract_x
_atom_site_fract_y
_atom_site_fract_z
In1 0.000 0.000 0.000
In2 0.311 0.500 0.684
Hg1 0.095 0.500 0.162
Hg2 0.256 0.000 0.525
Hg3 0.408 0.000 0.840
Hg4 0.500 0.500 0.000
Pb1 0.193 0.000 0.337

---

(4)
# PBE Nd11Ho9Sc4, optimized geometry
# Uncorrected energy: -235.51 eV for the cell shown
# M_tot: 0.0001 μB per atom
# DOS at the Fermi energy: 30.87 states/eV/f.u.
# Energy of formation from the pure elements: 51 meV per atom
data_Nd11Ho9Sc4
_chemical_formula_sum 'Nd22 Ho18 Sc8'
_cell_length_a 16.829
_cell_length_b 25.471
_cell_length_c 3.596
_cell_angle_alpha 90.00
_cell_angle_beta 90.00
_cell_angle_gamma 90.00
_space_group_name_H-M_alt 'C m m m'
_space_group_IT_number 65
_space_group_name_Hall '-C 2 2'
loop_
_atom_site_label
_atom_site_fract_x
_atom_site_fract_y
_atom_site_fract_z
Nd1 0.000 0.000 0.000
Nd2 0.000 0.160 0.000
Nd3 0.000 0.371 0.000
Nd4 0.201 0.500 0.000
Nd5 0.226 0.180 0.000
Ho1 0.000 0.500 0.500
Ho2 0.102 0.269 0.500
Ho3 0.145 0.072 0.500
Sc1 0.157 0.398 0.500

---

(5)
# PBE CaPm4Ge2, optimized geometry
# Uncorrected energy: -130.09 eV for the cell shown
# M_tot: 0.0000 μB per atom
# DOS at the Fermi energy: 8.53 states/eV/f.u.
# Energy of formation from the pure elements: -326 meV per atom
data_CaPm4Ge2
_chemical_formula_sum 'Ca4 Pm16 Ge8'
_cell_length_a 9.227
_cell_length_b 9.227
_cell_length_c 9.577
_cell_angle_alpha 90.00
_cell_angle_beta 90.00
_cell_angle_gamma 90.00
_space_group_name_H-M_alt 'I -4 2 d'
_space_group_IT_number 122
_space_group_name_Hall 'I -4 2bw'
loop_
_atom_site_label
_atom_site_fract_x
_atom_site_fract_y
_atom_site_fract_z
Ca1 0.000 0.000 0.000
Pm1 0.080 0.659 0.917
Ge1 0.156 0.750 0.625

---

(6)
# PBE Tb2Ge4Pd3Rh, optimized geometry
# Uncorrected energy: -58.59 eV for the cell shown
# M_tot: 0.0000 μB per atom
# DOS at the Fermi energy: 5.85 states/eV/f.u.
# Energy of formation from the pure elements: -793 meV per atom
data_Tb2Ge4Pd3Rh
_chemical_formula_sum 'Tb2 Ge4 Pd3 Rh1'
_cell_length_a 4.202
_cell_length_b 4.202
_cell_length_c 10.482
_cell_angle_alpha 90.00
_cell_angle_beta 90.00
_cell_angle_gamma 90.00
_space_group_name_H-M_alt 'P -4 m 2'
_space_group_IT_number 115
loop_
_space_group_symop_operation_xyz
'x,y,z'
'y,-x,-z'
'-x,-y,z'
'-y,x,-z'
'-x,y,z'
'-y,-x,-z'
'x,-y,z'
'y,x,-z'
loop_
_atom_site_label
_atom_site_fract_x
_atom_site_fract_y
_atom_site_fract_z
Tb1 0.000 0.500 0.250
Ge1 0.000 0.000 0.000
Ge2 0.000 0.500 0.631
Ge3 0.500 0.500 0.000
Pd1 0.000 0.500 0.863
Pd2 0.500 0.500 0.500
Rh1 0.000 0.000 0.500

---

(7)
# PBE AlTlInSe4, optimized geometry
# Uncorrected energy: -52.64 eV for the cell shown
# Uncorrected formation energy: -505 meV/atom
# M_tot: 0.0000 μB per atom
# DOS at the Fermi energy: 1.46 states/eV/f.u.
data_AlTlInSe4
_chemical_formula_sum 'Al2 Tl2 In2 Se8'
_cell_length_a 6.757
_cell_length_b 6.621
_cell_length_c 9.958
_cell_angle_alpha 90.00
_cell_angle_beta 103.93
_cell_angle_gamma 90.00
_space_group_name_H-M_alt 'P 1 21/m 1'
_space_group_IT_number 11
loop_
_space_group_symop_operation_xyz
'x,y,z'
'-x,-y,-z'
'-x,y+1/2,-z'
'x,-y+1/2,z'
loop_
_atom_site_label
_atom_site_fract_x
_atom_site_fract_y
_atom_site_fract_z
Al1 0.208 0.250 0.300
Tl1 0.202 0.750 0.038
In1 0.298 0.750 0.687
Se1 0.034 0.022 0.721
Se2 0.371 0.250 0.109
Se3 0.496 0.250 0.507

---

(8)
# PBE Nd3In3CoHg2, optimized geometry
# Uncorrected energy: -33.97 eV for the cell shown
# M_tot: 0.0001 μB per atom
# DOS at the Fermi energy: 8.96 states/eV/f.u.
# Energy of formation from the pure elements: -416 meV per atom
data_Nd3In3CoHg2
_chemical_formula_sum 'Nd3 In3 Co1 Hg2'
_cell_length_a 7.7871
_cell_length_b 7.7871
_cell_length_c 4.2819
_cell_angle_alpha 90.00
_cell_angle_beta 90.00
_cell_angle_gamma 120.00
_space_group_name_H-M_alt 'P -6 2 m'
_space_group_IT_number 189
_space_group_name_Hall 'P -6 -2'
loop_
_atom_site_label
_atom_site_fract_x
_atom_site_fract_y
_atom_site_fract_z
Nd1 0.0000 0.6136 0.0000
In1 0.0000 0.2328 0.5000
Co1 0.0000 0.0000 0.0000
Hg1 0.3333 0.6667 0.5000

---

(9)
# PBE IrOs3Ru2, optimized geometry
# Uncorrected energy: -243.74 eV for the cell shown
# M_tot: 0.0000 μB per atom
# DOS at the Fermi energy: 4.63 states/eV/f.u.
# Energy of formation from the pure elements: 28 meV per atom
data_IrOs3Ru2
_chemical_formula_sum 'Ir4 Os12 Ru8'
_cell_length_a 15.328
_cell_length_b 2.738
_cell_length_c 9.510
_cell_angle_alpha 90.00
_cell_angle_beta 121.14
_cell_angle_gamma 90.00
_space_group_name_H-M_alt 'C 1 2/m 1'
_space_group_IT_number 12
loop_
_space_group_symop_operation_xyz
'x,y,z'
'-x,-y,-z'
'-x,y,-z'
'x,-y,z'
'x+1/2,y+1/2,z'
'-x+1/2,-y+1/2,-z'
'-x+1/2,y+1/2,-z'
'x+1/2,-y+1/2,z'
loop_
_atom_site_label
_atom_site_fract_x
_atom_site_fract_y
_atom_site_fract_z
Ir1 0.083 0.000 0.153
Os1 0.081 0.000 0.651
Os2 0.081 0.500 0.402
Os3 0.083 0.500 0.902
Ru1 0.248 0.000 0.620
Ru2 0.249 0.500 0.878

---

(10)
# PBE BaAgN, optimized geometry
# Uncorrected energy: -27.84 eV for the cell shown
# Uncorrected formation energy: -273 meV/atom
# M_tot: 0.0000 μB per atom
# DOS at the Fermi energy: 1.87 states/eV/f.u.
data_BaAgN
_chemical_formula_sum 'Ba2 Ag2 N2'
_cell_length_a 4.426
_cell_length_b 4.654
_cell_length_c 8.962
_cell_angle_alpha 88.66
_cell_angle_beta 75.83
_cell_angle_gamma 61.73
_space_group_name_H-M_alt 'P 1'
_space_group_IT_number 1
loop_
_space_group_symop_operation_xyz
'x,y,z'
loop_
_atom_site_label
_atom_site_fract_x
_atom_site_fract_y
_atom_site_fract_z
Ba1 0.000 0.000 0.000
Ba2 0.065 0.508 0.367
Ag1 0.556 0.212 0.670
Ag2 0.829 0.586 0.752
N1 0.442 0.895 0.223
N2 0.619 0.609 0.156

---

(11)
# PBE V2NiIr4, optimized geometry
# Uncorrected energy: -120.47 eV for the cell shown
# M_tot: 0.0000 μB per atom
# DOS at the Fermi energy: 7.13 states/eV/f.u.
# Energy of formation from the pure elements: -110 meV per atom
data_V2NiIr4
_chemical_formula_sum 'V4 Ni2 Ir8'
_cell_length_a 4.695
_cell_length_b 8.195
_cell_length_c 5.120
_cell_angle_alpha 90.00
_cell_angle_beta 90.05
_cell_angle_gamma 90.00
_space_group_name_H-M_alt 'P 1 21/c 1'
_space_group_IT_number 14
loop_
_space_group_symop_operation_xyz
'x,y,z'
'-x,-y,-z'
'-x,y+1/2,-z+1/2'
'x,-y+1/2,z+1/2'
loop_
_atom_site_label
_atom_site_fract_x
_atom_site_fract_y
_atom_site_fract_z
V1 0.240 0.001 0.499
Ni1 0.500 0.000 0.000
Ir1 0.002 0.182 0.959
Ir2 0.498 0.742 0.777

---

(12)
# PBE KRu2Se, optimized geometry
# Uncorrected energy: -19.01 eV for the cell shown
# Uncorrected formation energy: 1030 meV/atom
# M_tot: 0.4767 μB per atom
# DOS at the Fermi energy: 4.72 states/eV/f.u.
data_KRu2Se
_chemical_formula_sum 'K1 Ru2 Se1'
_cell_length_a 4.029
_cell_length_b 4.029
_cell_length_c 4.491
_cell_angle_alpha 90.00
_cell_angle_beta 90.00
_cell_angle_gamma 90.00
_space_group_name_H-M_alt 'P 4/m m m'
_space_group_IT_number 123
_space_group_name_Hall '-P 4 2'
loop_
_atom_site_label
_atom_site_fract_x
_atom_site_fract_y
_atom_site_fract_z
K1 0.000 0.000 0.000
Ru1 0.000 0.500 0.500
Se1 0.500 0.500 0.000